Entry 1:
Cu3Ag4: optimized geometry, PBE.

Cell and atoms, written as CIF:
```
data_Cu3Ag4
_symmetry_space_group_name_H-M 'P 1'
_symmetry_Int_Tables_number 1
_cell_length_a 2.829
_cell_length_b 13.655
_cell_length_c 2.829
_cell_angle_alpha 84.05
_cell_angle_beta 90.00
_cell_angle_gamma 95.95
loop_
_symmetry_equiv_pos_as_xyz
'x,y,z'
loop_
_atom_site_label
_atom_site_type_symbol
_atom_site_fract_x
_atom_site_fract_y
_atom_site_fract_z
Cu1 Cu 0.278 0.557 0.722
Ag1 Ag 0.152 0.303 0.848
Ag2 Ag 0.570 0.140 0.430
Ag3 Ag 0.848 0.697 0.152
Cu2 Cu 0.000 0.000 0.000
Ag4 Ag 0.430 0.860 0.570
Cu3 Cu 0.722 0.443 0.278
```

Output
Crystal system: tetragonal
Excess energy over the best structure of this formula in the dataset, eV/atom: 0.000
Calculated density, g cm⁻³: 9.55
Total magnetic moment, μB/atom: 0.000
Total DFT energy (no corrections), eV/atom: -3.30

Entry 2:
CuAg: optimized geometry, PBE.

Cell and atoms, written as CIF:
```
data_CuAg
_symmetry_space_group_name_H-M 'P 1'
_symmetry_Int_Tables_number 1
_cell_length_a 3.658
_cell_length_b 3.658
_cell_length_c 3.658
_cell_angle_alpha 60.00
_cell_angle_beta 60.00
_cell_angle_gamma 60.00
loop_
_symmetry_equiv_pos_as_xyz
'x,y,z'
loop_
_atom_site_label
_atom_site_type_symbol
_atom_site_fract_x
_atom_site_fract_y
_atom_site_fract_z
Cu1 Cu 0.500 0.500 0.500
Ag1 Ag 0.000 0.000 0.000
```

Output
Crystal system: cubic
Calculated density, g cm⁻³: 8.22
Total magnetic moment, μB/atom: 0.000
Total DFT energy (no corrections), eV/atom: -3.02

Entry 3:
CuAg: optimized geometry, PBE.

Cell and atoms, written as CIF:
```
data_CuAg
_symmetry_space_group_name_H-M 'P 1'
_symmetry_Int_Tables_number 1
_cell_length_a 2.846
_cell_length_b 2.846
_cell_length_c 7.407
_cell_angle_alpha 90.00
_cell_angle_beta 90.00
_cell_angle_gamma 90.00
loop_
_symmetry_equiv_pos_as_xyz
'x,y,z'
loop_
_atom_site_label
_atom_site_type_symbol
_atom_site_fract_x
_atom_site_fract_y
_atom_site_fract_z
Ag1 Ag 0.750 0.750 0.853
Cu1 Cu 0.250 0.250 0.601
Cu2 Cu 0.750 0.750 0.399
Ag2 Ag 0.250 0.250 0.147
```

Output
Crystal system: tetragonal
Calculated density, g cm⁻³: 9.49
Total magnetic moment, μB/atom: 0.000
Total DFT energy (no corrections), eV/atom: -3.39

Entry 4:
CuAg2: optimized geometry, PBE.

Cell and atoms, written as CIF:
```
data_CuAg2
_symmetry_space_group_name_H-M 'P 1'
_symmetry_Int_Tables_number 1
_cell_length_a 5.562
_cell_length_b 5.562
_cell_length_c 6.559
_cell_angle_alpha 75.09
_cell_angle_beta 75.09
_cell_angle_gamma 29.78
loop_
_symmetry_equiv_pos_as_xyz
'x,y,z'
loop_
_atom_site_label
_atom_site_type_symbol
_atom_site_fract_x
_atom_site_fract_y
_atom_site_fract_z
Ag1 Ag 0.985 0.985 0.001
Ag2 Ag 0.336 0.336 0.352
Cu1 Cu 0.286 0.286 0.921
Ag3 Ag 0.661 0.661 0.681
Ag4 Ag 0.620 0.620 0.262
Cu2 Cu 0.944 0.944 0.616
```

Output
Crystal system: monoclinic
Excess energy over the best structure of this formula in the dataset, eV/atom: 0.023
Calculated density, g cm⁻³: 9.55
Total magnetic moment, μB/atom: 0.000
Total DFT energy (no corrections), eV/atom: -3.16

Entry 5:
CuAg5: optimized geometry, PBE.

Cell and atoms, written as CIF:
```
data_CuAg5
_symmetry_space_group_name_H-M 'P 1'
_symmetry_Int_Tables_number 1
_cell_length_a 5.395
_cell_length_b 5.395
_cell_length_c 4.778
_cell_angle_alpha 90.00
_cell_angle_beta 90.00
_cell_angle_gamma 120.00
loop_
_symmetry_equiv_pos_as_xyz
'x,y,z'
loop_
_atom_site_label
_atom_site_type_symbol
_atom_site_fract_x
_atom_site_fract_y
_atom_site_fract_z
Ag1 Ag 0.333 0.667 0.000
Ag2 Ag 0.667 0.333 0.000
Ag3 Ag 0.500 0.500 0.500
Ag4 Ag 0.500 0.000 0.500
Ag5 Ag 0.000 0.500 0.500
Cu1 Cu 0.000 0.000 0.000
```

Output
Crystal system: hexagonal
Excess energy over the best structure of this formula in the dataset, eV/atom: 0.288
Calculated density, g cm⁻³: 8.31
Total magnetic moment, μB/atom: 0.000
Total DFT energy (no corrections), eV/atom: -2.71

Entry 6:
CuAg: optimized geometry, PBE.

Cell and atoms, written as CIF:
```
data_CuAg
_symmetry_space_group_name_H-M 'P 1'
_symmetry_Int_Tables_number 1
_cell_length_a 4.423
_cell_length_b 4.423
_cell_length_c 5.118
_cell_angle_alpha 90.00
_cell_angle_beta 90.00
_cell_angle_gamma 120.00
loop_
_symmetry_equiv_pos_as_xyz
'x,y,z'
loop_
_atom_site_label
_atom_site_type_symbol
_atom_site_fract_x
_atom_site_fract_y
_atom_site_fract_z
Ag1 Ag 0.667 0.333 0.250
Ag2 Ag 0.333 0.667 0.750
Cu1 Cu 0.333 0.667 0.250
Cu2 Cu 0.667 0.333 0.750
```

Output
Crystal system: hexagonal
Calculated density, g cm⁻³: 6.57
Total magnetic moment, μB/atom: 0.000
Total DFT energy (no corrections), eV/atom: -2.78

Entry 7:
CuAg: optimized geometry, PBE.

Cell and atoms, written as CIF:
```
data_CuAg
_symmetry_space_group_name_H-M 'P 1'
_symmetry_Int_Tables_number 1
_cell_length_a 4.851
_cell_length_b 4.851
_cell_length_c 4.851
_cell_angle_alpha 132.87
_cell_angle_beta 132.87
_cell_angle_gamma 68.86
loop_
_symmetry_equiv_pos_as_xyz
'x,y,z'
loop_
_atom_site_label
_atom_site_type_symbol
_atom_site_fract_x
_atom_site_fract_y
_atom_site_fract_z
Ag1 Ag 0.000 0.000 0.000
Cu1 Cu 0.250 0.750 0.500
Cu2 Cu 0.500 0.500 0.000
Ag2 Ag 0.750 0.250 0.500
```

Output
Crystal system: tetragonal
Calculated density, g cm⁻³: 9.46
Total magnetic moment, μB/atom: 0.000
Total DFT energy (no corrections), eV/atom: -3.35

Entry 8:
CuAg: optimized geometry, PBE.

Cell and atoms, written as CIF:
```
data_CuAg
_symmetry_space_group_name_H-M 'P 1'
_symmetry_Int_Tables_number 1
_cell_length_a 9.684
_cell_length_b 9.684
_cell_length_c 2.746
_cell_angle_alpha 90.00
_cell_angle_beta 90.00
_cell_angle_gamma 90.00
loop_
_symmetry_equiv_pos_as_xyz
'x,y,z'
loop_
_atom_site_label
_atom_site_type_symbol
_atom_site_fract_x
_atom_site_fract_y
_atom_site_fract_z
Cu1 Cu 0.873 0.582 0.000
Cu2 Cu 0.082 0.627 0.500
Ag1 Ag 0.174 0.883 0.500
Cu3 Cu 0.127 0.418 0.000
Ag2 Ag 0.826 0.117 0.500
Cu4 Cu 0.627 0.918 0.500
Cu5 Cu 0.373 0.082 0.500
Ag3 Ag 0.674 0.383 0.000
Ag4 Ag 0.383 0.326 0.000
Cu6 Cu 0.582 0.127 0.000
Cu7 Cu 0.418 0.873 0.000
Ag5 Ag 0.617 0.674 0.000
Ag6 Ag 0.883 0.826 0.500
Ag7 Ag 0.117 0.174 0.500
Cu8 Cu 0.918 0.373 0.500
Ag8 Ag 0.326 0.617 0.000
```

Output
Crystal system: tetragonal
Calculated density, g cm⁻³: 8.84
Total magnetic moment, μB/atom: 0.000
Total DFT energy (no corrections), eV/atom: -3.28

For reference, V by record: 15.4; 17.3; 15.0; 16.2; 20.1; 21.7; 15.0; 16.1 Å³ per atom.